1.
# GGA-PBE TbPrTc, optimized geometry
# * total magnetic moment: 0.0 μB per cell
# * V: 339 Å³/cell
# * ΔH_f (0 K): 0.02 eV/atom
# * final energy: -6.574 eV/atom
data_TbPrTc
_chemical_formula_sum 'Tb4 Pr4 Tc4'
_symmetry_space_group_name_H-M 'P 1'
_symmetry_Int_Tables_number 1
_symmetry_space_group_name_Hall 'P 1'
_cell_length_a 4.498
_cell_length_b 18.818
_cell_length_c 4.010
_cell_angle_alpha 90.00
_cell_angle_beta 90.00
_cell_angle_gamma 90.00
loop_
_atom_site_label
_atom_site_type_symbol
_atom_site_fract_x
_atom_site_fract_y
_atom_site_fract_z
_atom_site_occupancy
Tb1 Tb 0.000 0.080 0.250 1
Tb2 Tb 0.000 0.920 0.750 1
Tb3 Tb 0.500 0.420 0.750 1
Tb4 Tb 0.500 0.580 0.250 1
Pr1 Pr 0.000 0.306 0.250 1
Pr2 Pr 0.000 0.694 0.750 1
Pr3 Pr 0.500 0.194 0.750 1
Pr4 Pr 0.500 0.806 0.250 1
Tc1 Tc 0.000 0.465 0.250 1
Tc2 Tc 0.000 0.535 0.750 1
Tc3 Tc 0.500 0.035 0.750 1
Tc4 Tc 0.500 0.965 0.250 1


2.
# GGA-PBE TbPr2Tc, optimized geometry
# * total magnetic moment: 0.0 μB per cell
# * V: 326 Å³/cell
# * ΔH_f (0 K): 0.30 eV/atom
# * final energy: -5.835 eV/atom
data_TbPr2Tc
_chemical_formula_sum 'Tb3 Pr6 Tc3'
_symmetry_space_group_name_H-M 'P 1'
_symmetry_Int_Tables_number 1
_symmetry_space_group_name_Hall 'P 1'
_cell_length_a 4.951
_cell_length_b 4.951
_cell_length_c 15.349
_cell_angle_alpha 90.00
_cell_angle_beta 90.00
_cell_angle_gamma 120.00
loop_
_atom_site_label
_atom_site_type_symbol
_atom_site_fract_x
_atom_site_fract_y
_atom_site_fract_z
_atom_site_occupancy
Tb1 Tb 0.000 0.000 0.000 1
Tb2 Tb 0.333 0.667 0.667 1
Tb3 Tb 0.667 0.333 0.333 1
Pr1 Pr 0.000 0.000 0.233 1
Pr2 Pr 0.000 0.000 0.767 1
Pr3 Pr 0.333 0.667 0.434 1
Pr4 Pr 0.333 0.667 0.900 1
Pr5 Pr 0.667 0.333 0.100 1
Pr6 Pr 0.667 0.333 0.566 1
Tc1 Tc 0.000 0.000 0.500 1
Tc2 Tc 0.333 0.667 0.167 1
Tc3 Tc 0.667 0.333 0.833 1


3.
# GGA-PBE TbPrTc4, optimized geometry
# * total magnetic moment: 0.0 μB per cell
# * V: 115 Å³/cell
# * ΔH_f (0 K): 0.00 eV/atom
# * final energy: -8.476 eV/atom
data_TbPrTc4
_chemical_formula_sum 'Tb1 Pr1 Tc4'
_symmetry_space_group_name_H-M 'P 1'
_symmetry_Int_Tables_number 1
_symmetry_space_group_name_Hall 'P 1'
_cell_length_a 5.466
_cell_length_b 5.466
_cell_length_c 5.466
_cell_angle_alpha 60.00
_cell_angle_beta 60.00
_cell_angle_gamma 60.00
loop_
_atom_site_label
_atom_site_type_symbol
_atom_site_fract_x
_atom_site_fract_y
_atom_site_fract_z
_atom_site_occupancy
Tb1 Tb 0.000 0.000 0.000 1
Pr1 Pr 0.250 0.250 0.250 1
Tc1 Tc 0.125 0.625 0.625 1
Tc2 Tc 0.625 0.125 0.625 1
Tc3 Tc 0.625 0.625 0.125 1
Tc4 Tc 0.625 0.625 0.625 1


4.
# GGA-PBE TbPrTc, optimized geometry
# * total magnetic moment: 0.0 μB per cell
# * V: 161 Å³/cell
# * ΔH_f (0 K): 0.07 eV/atom
# * final energy: -6.523 eV/atom
data_TbPrTc
_chemical_formula_sum 'Tb2 Pr2 Tc2'
_symmetry_space_group_name_H-M 'P 1'
_symmetry_Int_Tables_number 1
_symmetry_space_group_name_Hall 'P 1'
_cell_length_a 3.516
_cell_length_b 3.516
_cell_length_c 13.049
_cell_angle_alpha 90.00
_cell_angle_beta 90.00
_cell_angle_gamma 90.00
loop_
_atom_site_label
_atom_site_type_symbol
_atom_site_fract_x
_atom_site_fract_y
_atom_site_fract_z
_atom_site_occupancy
Tb1 Tb 0.000 0.000 0.000 1
Tb2 Tb 0.500 0.500 0.500 1
Pr1 Pr 0.000 0.000 0.256 1
Pr2 Pr 0.500 0.500 0.756 1
Tc1 Tc 0.000 0.000 0.623 1
Tc2 Tc 0.500 0.500 0.123 1


5.
# GGA-PBE Tb4PrTc, optimized geometry
# * total magnetic moment: 0.0 μB per cell
# * V: 362 Å³/cell
# * ΔH_f (0 K): 0.01 eV/atom
# * final energy: -5.601 eV/atom
data_Tb4PrTc
_chemical_formula_sum 'Tb8 Pr2 Tc2'
_symmetry_space_group_name_H-M 'P 1'
_symmetry_Int_Tables_number 1
_symmetry_space_group_name_Hall 'P 1'
_cell_length_a 7.970
_cell_length_b 7.970
_cell_length_c 6.256
_cell_angle_alpha 100.41
_cell_angle_beta 100.41
_cell_angle_gamma 106.89
loop_
_atom_site_label
_atom_site_type_symbol
_atom_site_fract_x
_atom_site_fract_y
_atom_site_fract_z
_atom_site_occupancy
Tb1 Tb 0.064 0.730 0.949 1
Tb2 Tb 0.165 0.350 0.624 1
Tb3 Tb 0.270 0.936 0.551 1
Tb4 Tb 0.350 0.165 0.124 1
Tb5 Tb 0.650 0.835 0.876 1
Tb6 Tb 0.730 0.064 0.449 1
Tb7 Tb 0.835 0.650 0.376 1
Tb8 Tb 0.936 0.270 0.051 1
Pr1 Pr 0.393 0.607 0.250 1
Pr2 Pr 0.607 0.393 0.750 1
Tc1 Tc 0.003 0.997 0.750 1
Tc2 Tc 0.997 0.003 0.250 1


6.
# GGA-PBE TbPr3Tc, optimized geometry
# * total magnetic moment: 0.0 μB per cell
# * V: 621 Å³/cell
# * ΔH_f (0 K): 0.14 eV/atom
# * final energy: -5.727 eV/atom
data_TbPr3Tc
_chemical_formula_sum 'Tb4 Pr12 Tc4'
_symmetry_space_group_name_H-M 'P 1'
_symmetry_Int_Tables_number 1
_symmetry_space_group_name_Hall 'P 1'
_cell_length_a 10.654
_cell_length_b 10.654
_cell_length_c 6.368
_cell_angle_alpha 90.20
_cell_angle_beta 90.20
_cell_angle_gamma 59.22
loop_
_atom_site_label
_atom_site_type_symbol
_atom_site_fract_x
_atom_site_fract_y
_atom_site_fract_z
_atom_site_occupancy
Tb1 Tb 0.094 0.906 0.750 1
Tb2 Tb 0.404 0.596 0.250 1
Tb3 Tb 0.596 0.404 0.750 1
Tb4 Tb 0.906 0.094 0.250 1
Pr1 Pr 0.128 0.492 0.220 1
Pr2 Pr 0.153 0.187 0.509 1
Pr3 Pr 0.187 0.153 0.009 1
Pr4 Pr 0.214 0.544 0.723 1
Pr5 Pr 0.456 0.786 0.777 1
Pr6 Pr 0.492 0.128 0.720 1
Pr7 Pr 0.508 0.872 0.280 1
Pr8 Pr 0.544 0.214 0.223 1
Pr9 Pr 0.786 0.456 0.277 1
Pr10 Pr 0.813 0.847 0.991 1
Pr11 Pr 0.847 0.813 0.491 1
Pr12 Pr 0.872 0.508 0.780 1
Tc1 Tc 0.099 0.772 0.278 1
Tc2 Tc 0.228 0.901 0.222 1
Tc3 Tc 0.772 0.099 0.778 1
Tc4 Tc 0.901 0.228 0.722 1


7.
# GGA-PBE TbPrThTc, optimized geometry
# * total magnetic moment: 0.0 μB per cell
# * V: 111 Å³/cell
# * ΔH_f (0 K): -0.02 eV/atom
# * final energy: -6.818 eV/atom
data_TbPrThTc
_chemical_formula_sum 'Tb1 Pr1 Th1 Tc1'
_symmetry_space_group_name_H-M 'P 1'
_symmetry_Int_Tables_number 1
_symmetry_space_group_name_Hall 'P 1'
_cell_length_a 3.554
_cell_length_b 3.554
_cell_length_c 8.808
_cell_angle_alpha 90.00
_cell_angle_beta 90.00
_cell_angle_gamma 90.00
loop_
_atom_site_label
_atom_site_type_symbol
_atom_site_fract_x
_atom_site_fract_y
_atom_site_fract_z
_atom_site_occupancy
Tb1 Tb 0.000 0.000 0.000 1
Pr1 Pr 0.500 0.500 0.326 1
Th1 Th 0.000 0.000 0.614 1
Tc1 Tc 0.500 0.500 0.796 1


8.
# GGA-PBE TbPr5Te4, optimized geometry
# * total magnetic moment: 0.0 μB per cell
# * V: 350 Å³/cell
# * formation energy without anion corrections: -10.2 eV/f.u.
# * final energy: -5.126 eV/atom
data_TbPr5Te4
_chemical_formula_sum 'Tb1 Pr5 Te4'
_symmetry_space_group_name_H-M 'P 1'
_symmetry_Int_Tables_number 1
_symmetry_space_group_name_Hall 'P 1'
_cell_length_a 9.698
_cell_length_b 9.698
_cell_length_c 8.747
_cell_angle_alpha 101.61
_cell_angle_beta 101.61
_cell_angle_gamma 25.80
loop_
_atom_site_label
_atom_site_type_symbol
_atom_site_fract_x
_atom_site_fract_y
_atom_site_fract_z
_atom_site_occupancy
Tb1 Tb 0.000 0.000 0.000 1
Pr1 Pr 0.000 0.000 0.500 1
Pr2 Pr 0.318 0.318 0.643 1
Pr3 Pr 0.333 0.333 0.192 1
Pr4 Pr 0.667 0.667 0.808 1
Pr5 Pr 0.682 0.682 0.357 1
Te1 Te 0.164 0.164 0.075 1
Te2 Te 0.493 0.493 0.754 1
Te3 Te 0.507 0.507 0.246 1
Te4 Te 0.836 0.836 0.925 1


9.
# GGA-PBE TbPr5Te6, optimized geometry
# * total magnetic moment: 0.0 μB per cell
# * V: 388 Å³/cell
# * formation energy without anion corrections: -17.1 eV/f.u.
# * final energy: -5.369 eV/atom
data_TbPr5Te6
_chemical_formula_sum 'Tb1 Pr5 Te6'
_symmetry_space_group_name_H-M 'P 1'
_symmetry_Int_Tables_number 1
_symmetry_space_group_name_Hall 'P 1'
_cell_length_a 7.816
_cell_length_b 7.816
_cell_length_c 7.787
_cell_angle_alpha 99.60
_cell_angle_beta 99.60
_cell_angle_gamma 120.09
loop_
_atom_site_label
_atom_site_type_symbol
_atom_site_fract_x
_atom_site_fract_y
_atom_site_fract_z
_atom_site_occupancy
Tb1 Tb 0.000 0.000 0.000 1
Pr1 Pr 0.175 0.825 0.500 1
Pr2 Pr 0.332 0.668 0.000 1
Pr3 Pr 0.500 0.500 0.500 1
Pr4 Pr 0.668 0.332 0.000 1
Pr5 Pr 0.825 0.175 0.500 1
Te1 Te 0.081 0.405 0.244 1
Te2 Te 0.241 0.241 0.750 1
Te3 Te 0.405 0.081 0.244 1
Te4 Te 0.595 0.919 0.756 1
Te5 Te 0.759 0.759 0.250 1
Te6 Te 0.919 0.595 0.756 1


10.
# GGA-PBE Tb3PrTe3, optimized geometry
# * total magnetic moment: 0.0 μB per cell
# * V: 432 Å³/cell
# * formation energy without anion corrections: -7.4 eV/f.u.
# * final energy: -5.073 eV/atom
data_Tb3PrTe3
_chemical_formula_sum 'Tb6 Pr2 Te6'
_symmetry_space_group_name_H-M 'P 1'
_symmetry_Int_Tables_number 1
_symmetry_space_group_name_Hall 'P 1'
_cell_length_a 7.948
_cell_length_b 7.948
_cell_length_c 7.948
_cell_angle_alpha 70.45
_cell_angle_beta 70.45
_cell_angle_gamma 70.45
loop_
_atom_site_label
_atom_site_type_symbol
_atom_site_fract_x
_atom_site_fract_y
_atom_site_fract_z
_atom_site_occupancy
Tb1 Tb 0.166 0.656 0.422 1
Tb2 Tb 0.344 0.578 0.834 1
Tb3 Tb 0.422 0.166 0.656 1
Tb4 Tb 0.578 0.834 0.344 1
Tb5 Tb 0.656 0.422 0.166 1
Tb6 Tb 0.834 0.344 0.578 1
Pr1 Pr 0.189 0.189 0.189 1
Pr2 Pr 0.811 0.811 0.811 1
Te1 Te 0.044 0.397 0.814 1
Te2 Te 0.186 0.956 0.603 1
Te3 Te 0.397 0.814 0.044 1
Te4 Te 0.603 0.186 0.956 1
Te5 Te 0.814 0.044 0.397 1
Te6 Te 0.956 0.603 0.186 1


11.
# GGA-PBE Tb2PrTe3, optimized geometry
# * total magnetic moment: 0.0 μB per cell
# * V: 368 Å³/cell
# * formation energy without anion corrections: -8.1 eV/f.u.
# * final energy: -5.263 eV/atom
data_Tb2PrTe3
_chemical_formula_sum 'Tb4 Pr2 Te6'
_symmetry_space_group_name_H-M 'P 1'
_symmetry_Int_Tables_number 1
_symmetry_space_group_name_Hall 'P 1'
_cell_length_a 4.432
_cell_length_b 6.240
_cell_length_c 13.310
_cell_angle_alpha 90.00
_cell_angle_beta 90.00
_cell_angle_gamma 90.00
loop_
_atom_site_label
_atom_site_type_symbol
_atom_site_fract_x
_atom_site_fract_y
_atom_site_fract_z
_atom_site_occupancy
Tb1 Tb 0.000 0.000 0.158 1
Tb2 Tb 0.000 0.000 0.842 1
Tb3 Tb 0.500 0.500 0.342 1
Tb4 Tb 0.500 0.500 0.658 1
Pr1 Pr 0.000 0.000 0.500 1
Pr2 Pr 0.500 0.500 0.000 1
Te1 Te 0.000 0.500 0.176 1
Te2 Te 0.000 0.500 0.500 1
Te3 Te 0.000 0.500 0.824 1
Te4 Te 0.500 0.000 0.000 1
Te5 Te 0.500 0.000 0.324 1
Te6 Te 0.500 0.000 0.676 1


12.
# GGA-PBE TbPr2Te4, optimized geometry
# * total magnetic moment: 0.0 μB per cell
# * V: 493 Å³/cell
# * formation energy without anion corrections: -9.6 eV/f.u.
# * final energy: -5.200 eV/atom
data_TbPr2Te4
_chemical_formula_sum 'Tb2 Pr4 Te8'
_symmetry_space_group_name_H-M 'P 1'
_symmetry_Int_Tables_number 1
_symmetry_space_group_name_Hall 'P 1'
_cell_length_a 7.750
_cell_length_b 7.750
_cell_length_c 15.347
_cell_angle_alpha 90.00
_cell_angle_beta 90.00
_cell_angle_gamma 147.67
loop_
_atom_site_label
_atom_site_type_symbol
_atom_site_fract_x
_atom_site_fract_y
_atom_site_fract_z
_atom_site_occupancy
Tb1 Tb 0.128 0.872 0.750 1
Tb2 Tb 0.872 0.128 0.250 1
Pr1 Pr 0.368 0.632 0.571 1
Pr2 Pr 0.368 0.632 0.929 1
Pr3 Pr 0.632 0.368 0.071 1
Pr4 Pr 0.632 0.368 0.429 1
Te1 Te 0.000 0.000 0.000 1
Te2 Te 0.000 0.000 0.500 1
Te3 Te 0.283 0.717 0.126 1
Te4 Te 0.283 0.717 0.374 1
Te5 Te 0.477 0.523 0.750 1
Te6 Te 0.523 0.477 0.250 1
Te7 Te 0.717 0.283 0.626 1
Te8 Te 0.717 0.283 0.874 1